! Be2ReMo2 (PBEsol, relaxed); values from VASP
&SYSTEM
  ibrav = 0, nat = 10, ntyp = 3
/
ATOMIC_SPECIES
Mo 95.94 Mo.upf
Be 9.01 Be.upf
Re 186.21 Re.upf
CELL_PARAMETERS angstrom
3.1485 0.0000 0.0000
0.0000 6.1499 0.0000
0.0000 0.0000 6.1499
ATOMIC_POSITIONS angstrom
Mo 1.5742 1.0783 4.1532
Mo 1.5742 4.1532 5.0716
Mo 1.5742 1.9967 1.0783
Mo 1.5742 5.0716 1.9967
Be 0.0000 0.7388 2.3362
Be 0.0000 5.4111 3.8137
Be 0.0000 3.8137 0.7388
Be 0.0000 2.3362 5.4111
Re 0.0000 0.0000 0.0000
Re 0.0000 3.0750 3.0750
! Energy relative to the elements   -20.0 kJ per mole of atoms
! Total energy   -9.1805 eV/atom

! BeReMo2 (PBEsol, relaxed); values from VASP
&SYSTEM
  ibrav = 0, nat = 4, ntyp = 3
/
ATOMIC_SPECIES
Re 186.21 Re.upf
Mo 95.94 Mo.upf
Be 9.01 Be.upf
CELL_PARAMETERS angstrom
3.1235 0.0000 0.0000
0.0000 3.1235 0.0000
0.0000 0.0000 5.5699
ATOMIC_POSITIONS angstrom
Re 1.5617 1.5617 0.0000
Mo 0.0000 0.0000 4.0360
Mo 0.0000 0.0000 1.5338
Be 1.5617 1.5617 2.7849
! Energy relative to the elements   10.5 kJ per mole of atoms
! Total energy   -10.1078 eV/atom

! BeMoRh2 (PBEsol, relaxed); values from VASP
&SYSTEM
  ibrav = 0, nat = 4, ntyp = 3
/
ATOMIC_SPECIES
Rh 102.91 Rh.upf
Mo 95.94 Mo.upf
Be 9.01 Be.upf
CELL_PARAMETERS angstrom
2.8118 0.0000 0.0000
0.0000 4.3116 0.0000
0.0000 0.0000 4.3116
ATOMIC_POSITIONS angstrom
Rh 0.0000 2.1558 0.0000
Rh 0.0000 0.0000 2.1558
Mo 1.4059 0.0000 0.0000
Be 1.4059 2.1558 2.1558
! Energy relative to the elements   -4.7 kJ per mole of atoms
! Total energy   -8.0598 eV/atom

! Be2MoRh (PBEsol, relaxed); values from VASP
&SYSTEM
  ibrav = 0, nat = 4, ntyp = 3
/
ATOMIC_SPECIES
Be 9.01 Be.upf
Rh 102.91 Rh.upf
Mo 95.94 Mo.upf
CELL_PARAMETERS angstrom
-0.6421 -1.1195 2.3388
-1.0216 -2.2339 -2.8752
4.7295 -1.5486 0.5572
ATOMIC_POSITIONS angstrom
Be 0.6879 -1.8874 -0.7146
Be 2.3779 -3.0145 0.7354
Rh 2.3647 -0.7743 0.2786
Mo -0.3211 -0.5598 1.1694
! Energy relative to the elements   1.2 kJ per mole of atoms
! Total energy   -6.9643 eV/atom